(1)
First-principles (GGA-PBE) data for a relaxed Hf4H6Rh7 crystal, as listed in Alexandria via LeMat-Bulk.

Lattice parameters (Å, degrees): 6.5632 6.5632 6.5632 109.47 109.47 109.47
Last column: nearest neighbours and their distance in Å.
Sites, in units of the cell vectors:
Hf (0.0000, 0.0000, 0.5000)  6 Rh 2.68, 6 H 2.69
Hf (0.0000, 0.5000, 0.0000)  6 Rh 2.68, 6 H 2.69
Hf (0.5000, 0.0000, 0.0000)  6 Rh 2.68, 6 H 2.69
Hf (0.5000, 0.5000, 0.5000)  6 Rh 2.68, 6 H 2.69
H (0.0000, 0.2246, 0.2246)  1 Rh 1.70
H (0.0000, 0.7754, 0.7754)  1 Rh 1.70
H (0.2246, 0.0000, 0.2246)  1 Rh 1.70
H (0.2246, 0.2246, 0.0000)  1 Rh 1.70
H (0.7754, 0.0000, 0.7754)  1 Rh 1.70
H (0.7754, 0.7754, 0.0000)  1 Rh 1.70
Rh (0.0000, 0.0000, 0.0000)  6 H 1.70
Rh (0.2500, 0.5000, 0.7500)  4 Rh 2.68, 4 Hf 2.68, 4 H 2.82
Rh (0.2500, 0.7500, 0.5000)  4 Hf 2.68, 4 Rh 2.68, 4 H 2.82
Rh (0.5000, 0.2500, 0.7500)  4 Hf 2.68, 4 Rh 2.68, 4 H 2.82
Rh (0.5000, 0.7500, 0.2500)  4 Hf 2.68, 4 Rh 2.68, 4 H 2.82
Rh (0.7500, 0.2500, 0.5000)  4 Hf 2.68, 4 Rh 2.68, 4 H 2.82
Rh (0.7500, 0.5000, 0.2500)  4 Rh 2.68, 4 Hf 2.68, 4 H 2.82

E_tot	-0.247	Ha/atom
mass density	10.99	Mg/m³

---

(2)
First-principles (GGA-PBE) data for a relaxed HfH2Rh crystal, as listed in Alexandria via LeMat-Bulk.

Lattice parameters (Å, degrees): 5.3352 5.7524 6.2659 90.00 120.50 90.00
Last column: nearest neighbours and their distance in Å.
Sites, in units of the cell vectors:
Hf (0.1992, 0.1561, 0.4168)  4 H 1.98-2.18
Hf (0.1992, 0.3439, 0.9168)  4 H 1.98-2.18
Hf (0.8008, 0.6561, 0.0832)  4 H 1.98-2.18
Hf (0.8008, 0.8439, 0.5832)  4 H 1.98-2.18
H (0.0009, 0.1428, 0.6106)  3 Hf 1.98-2.02, 1 Rh 2.00, 1 H 2.15
H (0.0009, 0.3572, 0.1106)  3 Hf 1.98-2.02, 1 Rh 2.00, 1 H 2.15
H (0.4891, 0.1188, 0.2680)  2 Rh 1.72-1.82
H (0.4891, 0.3812, 0.7680)  2 Rh 1.72-1.82
H (0.5109, 0.6188, 0.2320)  2 Rh 1.72-1.82
H (0.5109, 0.8812, 0.7320)  2 Rh 1.72-1.82
H (0.9991, 0.6428, 0.8894)  3 Hf 1.98-2.02, 1 Rh 2.00, 1 H 2.15
H (0.9991, 0.8572, 0.3894)  3 Hf 1.98-2.02, 1 Rh 2.00, 1 H 2.15
Rh (0.2979, 0.6196, 0.5956)  2 H 1.72-1.82
Rh (0.2979, 0.8804, 0.0956)  2 H 1.72-1.82
Rh (0.7021, 0.1196, 0.9044)  2 H 1.72-1.82
Rh (0.7021, 0.3804, 0.4044)  2 H 1.72-1.82

E_tot	-0.236	Ha/atom
mass density	11.36	Mg/m³
ΔE to the lowest computed polymorph	0.00	eV/f.u.

---

(3)
First-principles (GGA-PBE) data for a relaxed HfHRh2 crystal, as listed in Alexandria via LeMat-Bulk.

Lattice parameters (Å, degrees): 4.2106 4.2106 3.7202 90.00 90.00 120.00
Last column: nearest neighbours and their distance in Å.
Sites, in units of the cell vectors:
Hf (0.0000, 0.0000, 0.0000)  2 H 1.86
H (0.0000, 0.0000, 0.5000)  2 Hf 1.86
Rh (0.3333, 0.6667, 0.5000)  3 H 2.43, 3 Rh 2.43
Rh (0.6667, 0.3333, 0.5000)  3 H 2.43, 3 Rh 2.43

E_tot	-0.257	Ha/atom
mass density	11.20	Mg/m³
ΔE to the lowest computed polymorph	2.00	eV/f.u.